# Na3MnMo PBE-GGA optimized geometry
# spin magnetization = 0.968 μB/atom
# ΔH_f (0 K) = 2010 meV per atom
data_Na3MnMo
_chemical_formula_sum 'Na3 Mn1 Mo1'
_space_group_name_H-M_alt 'P m -3 m'
_space_group_IT_number 221
_space_group_name_Hall '-P 4 2 3'
_cell_length_a 5.3473
_cell_length_b 5.3473
_cell_length_c 5.3473
_cell_angle_alpha 90.00
_cell_angle_beta 90.00
_cell_angle_gamma 90.00
loop_
_atom_site_label
_atom_site_type_symbol
_atom_site_fract_x
_atom_site_fract_y
_atom_site_fract_z
Na1 Na 0.0000 0.0000 0.5000
Mn1 Mn 0.0000 0.0000 0.0000
Mo1 Mo 0.5000 0.5000 0.5000

# NaMnMo3 PBE-GGA optimized geometry
# spin magnetization = 0.000 μB/atom
# offset from the most stable computed form = 0 meV/atom
# ΔH_f (0 K) = 1277 meV per atom
data_NaMnMo3
_chemical_formula_sum 'Na1 Mn1 Mo3'
_space_group_name_H-M_alt 'P m -3 m'
_space_group_IT_number 221
_space_group_name_Hall '-P 4 2 3'
_cell_length_a 4.5545
_cell_length_b 4.5545
_cell_length_c 4.5545
_cell_angle_alpha 90.00
_cell_angle_beta 90.00
_cell_angle_gamma 90.00
loop_
_atom_site_label
_atom_site_type_symbol
_atom_site_fract_x
_atom_site_fract_y
_atom_site_fract_z
Na1 Na 0.0000 0.0000 0.0000
Mn1 Mn 0.5000 0.5000 0.5000
Mo1 Mo 0.0000 0.5000 0.5000

# Na2MnMo PBE-GGA optimized geometry
# spin magnetization = 0.000 μB/atom
# offset from the most stable computed form = 591 meV/atom
# ΔH_f (0 K) = 1994 meV per atom
data_Na2MnMo
_chemical_formula_sum 'Na8 Mn4 Mo4'
_space_group_name_H-M_alt 'F m -3 m'
_space_group_IT_number 225
_space_group_name_Hall '-F 4 2 3'
_cell_length_a 6.5687
_cell_length_b 6.5687
_cell_length_c 6.5687
_cell_angle_alpha 90.00
_cell_angle_beta 90.00
_cell_angle_gamma 90.00
loop_
_atom_site_label
_atom_site_type_symbol
_atom_site_fract_x
_atom_site_fract_y
_atom_site_fract_z
Na1 Na 0.2500 0.2500 0.2500
Mn1 Mn 0.0000 0.0000 0.0000
Mo1 Mo 0.0000 0.0000 0.5000

# NaMn3Mo PBE-GGA optimized geometry
# spin magnetization = 1.964 μB/atom
# offset from the most stable computed form = 0 meV/atom
# ΔH_f (0 K) = 1131 meV per atom
data_NaMn3Mo
_chemical_formula_sum 'Na1 Mn3 Mo1'
_space_group_name_H-M_alt 'P m -3 m'
_space_group_IT_number 221
_space_group_name_Hall '-P 4 2 3'
_cell_length_a 4.8003
_cell_length_b 4.8003
_cell_length_c 4.8003
_cell_angle_alpha 90.00
_cell_angle_beta 90.00
_cell_angle_gamma 90.00
loop_
_atom_site_label
_atom_site_type_symbol
_atom_site_fract_x
_atom_site_fract_y
_atom_site_fract_z
Na1 Na 0.0000 0.0000 0.0000
Mn1 Mn 0.0000 0.5000 0.5000
Mo1 Mo 0.5000 0.5000 0.5000

# NaMnMo3 PBE-GGA optimized geometry
# spin magnetization = 0.000 μB/atom
# offset from the most stable computed form = 1640 meV/atom
# ΔH_f (0 K) = 2917 meV per atom
data_NaMnMo3
_chemical_formula_sum 'Na1 Mn1 Mo3'
_space_group_name_H-M_alt 'P m -3 m'
_space_group_IT_number 221
_space_group_name_Hall '-P 4 2 3'
_cell_length_a 4.4343
_cell_length_b 4.4343
_cell_length_c 4.4343
_cell_angle_alpha 90.00
_cell_angle_beta 90.00
_cell_angle_gamma 90.00
loop_
_atom_site_label
_atom_site_type_symbol
_atom_site_fract_x
_atom_site_fract_y
_atom_site_fract_z
Na1 Na 0.0000 0.0000 0.0000
Mn1 Mn 0.5000 0.5000 0.5000
Mo1 Mo 0.0000 0.0000 0.5000

# NaMn3Mo PBE-GGA optimized geometry
# spin magnetization = 1.720 μB/atom
# offset from the most stable computed form = 870 meV/atom
# ΔH_f (0 K) = 2001 meV per atom
data_NaMn3Mo
_chemical_formula_sum 'Na1 Mn3 Mo1'
_space_group_name_H-M_alt 'P m -3 m'
_space_group_IT_number 221
_space_group_name_Hall '-P 4 2 3'
_cell_length_a 4.5486
_cell_length_b 4.5486
_cell_length_c 4.5486
_cell_angle_alpha 90.00
_cell_angle_beta 90.00
_cell_angle_gamma 90.00
loop_
_atom_site_label
_atom_site_type_symbol
_atom_site_fract_x
_atom_site_fract_y
_atom_site_fract_z
Na1 Na 0.0000 0.0000 0.0000
Mn1 Mn 0.0000 0.0000 0.5000
Mo1 Mo 0.5000 0.5000 0.5000